Computed, not measured: DyErMnTl after structural relaxation at the PBE level of DFT.

Cell: 7.343 7.343 7.343 Å, 90.00 90.00 90.00°
Space group F-43m (No. 216)
Inequivalent atoms, fractional coordinates:
1 Dy 0.000 0.000 0.000 [4 per cell]
2 Er 0.000 0.000 0.500 [4 per cell]
3 Mn 0.250 0.250 0.750 [4 per cell]
4 Tl 0.250 0.250 0.250 [4 per cell]

Formation energy (kJ/mol of formula units): -6
Final energy (Ha/atom): -0.1908
Total moment (μB/f.u.): 3.37

---

Computed, not measured: YAl2H2 after structural relaxation at the PBE level of DFT.

Cell: 3.646 3.646 10.553 Å, 90.00 90.00 90.00°
Space group I4/mmm (No. 139)
Inequivalent atoms, fractional coordinates:
1 Y 0.000 0.000 0.000 [2 per cell]
2 Al 0.000 0.500 0.250 [4 per cell]
3 H 0.000 0.000 0.409 [4 per cell]

Final energy (Ha/atom): -0.1468
Total moment (μB/f.u.): 0.00

---

Computed, not measured: HfGa3S after structural relaxation at the PBE level of DFT.

Cell: 4.725 4.725 4.725 Å, 90.00 90.00 90.00°
Space group Pm-3m (No. 221)
Inequivalent atoms, fractional coordinates:
1 Hf 0.000 0.000 0.000 [1 per cell]
2 Ga 0.000 0.500 0.500 [3 per cell]
3 S 0.500 0.500 0.500 [1 per cell]

Uncorrected formation energy (meV/atom): 502
Final energy (Ha/atom): -0.1518
Total moment (μB/f.u.): 0.00
ΔE to the lowest computed polymorph (eV per atom): 0.0000

---

Computed, not measured: TbErTlCo after structural relaxation at the PBE level of DFT.

Cell: 7.205 7.205 7.205 Å, 90.00 90.00 90.00°
Space group F-43m (No. 216)
Inequivalent atoms, fractional coordinates:
1 Tb 0.000 0.000 0.000 [4 per cell]
2 Er 0.000 0.000 0.500 [4 per cell]
3 Tl 0.250 0.250 0.750 [4 per cell]
4 Co 0.250 0.250 0.250 [4 per cell]

Formation energy (kJ/mol of formula units): -48
Final energy (Ha/atom): -0.1761
Total moment (μB/f.u.): 1.25
ΔE to the lowest computed polymorph (eV per atom): 0.1280

---

Computed, not measured: NpInCo after structural relaxation at the PBE level of DFT.

Cell: 3.087 4.922 8.053 Å, 99.07 96.95 104.23°
Space group P-1 (No. 2)
Inequivalent atoms, fractional coordinates:
1 Np 0.217 0.122 0.136 [2 per cell]
2 In 0.493 0.273 0.597 [2 per cell]
3 Co 0.188 0.460 0.875 [2 per cell]

Formation energy (kJ/mol of formula units): 65
Final energy (Ha/atom): -0.2709
Total moment (μB/f.u.): 1.39

---

Computed, not measured: KZnI3 after structural relaxation at the PBE level of DFT.

Cell: 5.748 5.748 5.748 Å, 90.00 90.00 90.00°
Space group Pm-3m (No. 221)
Inequivalent atoms, fractional coordinates:
1 K 0.000 0.000 0.000 [1 per cell]
2 Zn 0.500 0.500 0.500 [1 per cell]
3 I 0.000 0.500 0.500 [3 per cell]

Uncorrected formation energy (meV/atom): -764
Final energy (Ha/atom): -0.0797
Total moment (μB/f.u.): 0.00
ΔE to the lowest computed polymorph (eV per atom): 0.1649

---

Computed, not measured: CsKCrS4 after structural relaxation at the PBE level of DFT.

Cell: 6.546 6.954 9.977 Å, 90.00 107.20 90.00°
Space group P2_1/m (No. 11)
Inequivalent atoms, fractional coordinates:
1 Cs 0.246 0.250 0.394 [2 per cell]
2 K 0.304 0.750 0.015 [2 per cell]
3 Cr 0.127 0.250 0.787 [2 per cell]
4 S 0.195 0.250 0.005 [2 per cell]
5 S 0.202 0.750 0.311 [2 per cell]
6 S 0.262 0.008 0.724 [4 per cell]

Uncorrected formation energy (meV/atom): -876
Final energy (Ha/atom): -0.1796
Total moment (μB/f.u.): 0.00

---

Among the records above, which one has the lowest final energy? NpInCo

---

Which of these has the highest final energy? KZnI3

---

Which of these has the highest total moment? DyErMnTl

---

Number 6 is which compound? KZnI3